Entry 1:
## KMgW2 (PBE)

Data for KMgW2 after structural relaxation.

Unit cell a=6.333 b=6.333 c=6.333 alpha=151.63 beta=125.88 gamma=62.23
Fractional coordinates of all 4 atoms:
K (0.000, 0.000, 0.000)
Mg (0.292, 0.792, 0.500)
W (0.546, 0.546, 0.000)
W (0.715, 0.215, 0.500)

Summary:
Fermi-level density of states: 0.877 states/eV per atom
Space group: Imm2

Entry 2:
## KMgW (PBE)

Data for KMgW after structural relaxation.

Unit cell a=5.446 b=5.446 c=5.446 alpha=60.00 beta=60.00 gamma=60.00
Fractional coordinates of all 3 atoms:
K (0.000, 0.000, 0.000)
Mg (0.750, 0.750, 0.750)
W (0.250, 0.250, 0.250)

Summary:
Fermi-level density of states: 0.450 states/eV per atom
Space group: F-43m
Offset from the most stable computed form: 1416 meV per atom

Entry 3:
## KMgW2 (PBE)

Data for KMgW2 after structural relaxation.

Unit cell a=2.916 b=2.916 c=10.837 alpha=90.00 beta=90.00 gamma=112.38
Fractional coordinates of all 4 atoms:
K (0.000, 0.000, 0.000)
Mg (0.500, 0.500, 0.693)
W (0.000, 0.000, 0.469)
W (0.500, 0.500, 0.285)

Summary:
Fermi-level density of states: 0.683 states/eV per atom
Space group: Cmm2

Results for formation energy from the elements: 1240; 2382; 718 (in meV per atom, following the order of the records).